# 1
This record from Alexandria via LeMat-Bulk describes a relaxed Nb2SeF crystal. The functional is PBE.

Geometry as POSCAR:
```
Nb2SeF
1.0
0.000 3.122 3.122
3.122 0.000 3.122
3.122 3.122 0.000
Nb Se F
2 1 1
Direct
0.250 0.250 0.250 Nb
0.750 0.750 0.750 Nb
0.000 0.000 0.000 Se
0.500 0.500 0.500 F
```

Output
The density of states at the Fermi level is 5.7 states/eV/f.u. Its formation energy from raw total energies is -2.2 eV per formula unit.

=====

# 2
This record from Alexandria via LeMat-Bulk describes a relaxed NbSeF3 crystal. The functional is PBE.

Geometry as POSCAR:
```
NbSeF3
1.0
7.871 0.000 0.000
0.000 5.757 0.000
-5.071 0.000 8.100
Nb Se F
4 4 12
Direct
0.154 0.132 0.254 Nb
0.154 0.368 0.754 Nb
0.846 0.632 0.246 Nb
0.846 0.868 0.746 Nb
0.172 0.068 0.978 Se
0.172 0.432 0.478 Se
0.828 0.568 0.522 Se
0.828 0.932 0.022 Se
0.029 0.560 0.866 F
0.029 0.940 0.366 F
0.340 0.613 0.844 F
0.340 0.887 0.344 F
0.364 0.165 0.781 F
0.364 0.335 0.281 F
0.636 0.665 0.719 F
0.636 0.835 0.219 F
0.660 0.113 0.656 F
0.660 0.387 0.156 F
0.971 0.060 0.634 F
0.971 0.440 0.134 F
```

Output
Its formation energy from raw total energies is -11.1 eV per formula unit.